Gd2Tm2CI5: relaxed, GGA-PBE.

Output
* ρ: 6870 kg/m³
* polymorph energy (0 for the lowest one): 9.1 meV/atom

Structure (CIF):
```
data_Gd2Tm2CI5
_chemical_formula_sum 'Gd4 Tm4 C2 I10'
_space_group_name_H-M_alt 'C 1 2/m 1'
_space_group_IT_number 12
_cell_length_a 19.052
_cell_length_b 3.949
_cell_length_c 8.555
_cell_angle_alpha 90.00
_cell_angle_beta 102.66
_cell_angle_gamma 90.00
loop_
_space_group_symop_operation_xyz
'x,y,z'
'-x,-y,-z'
'-x,y,-z'
'x,-y,z'
'x+1/2,y+1/2,z'
'-x+1/2,-y+1/2,-z'
'-x+1/2,y+1/2,-z'
'x+1/2,-y+1/2,z'
loop_
_atom_site_label
_atom_site_fract_x
_atom_site_fract_y
_atom_site_fract_z
Gd1 0.131 0.000 0.065
Tm1 0.001 0.500 0.814
C1 0.000 0.000 0.000
I1 0.000 0.000 0.500
I2 0.161 0.500 0.346
I3 0.165 0.500 0.815
```